# BaSm2PdO5, relaxed, DFT GGA-PBEsol
data_BaSm2PdO5
_cell_length_a 5.856
_cell_length_b 6.625
_cell_length_c 6.625
_cell_angle_alpha 90.00
_cell_angle_beta 90.00
_cell_angle_gamma 90.00
_space_group_name_H-M_alt 'P 1'
_space_group_IT_number 1
loop_
_space_group_symop_operation_xyz
'x,y,z'
loop_
_atom_site_label
_atom_site_fract_x
_atom_site_fract_y
_atom_site_fract_z
Pd1 0.000 0.000 0.500
Pd2 0.000 0.500 0.000
Sm1 0.500 0.673 0.173
Sm2 0.500 0.827 0.673
Sm3 0.500 0.327 0.827
Sm4 0.500 0.173 0.327
O1 0.746 0.141 0.641
O2 0.746 0.859 0.359
O3 0.746 0.359 0.141
O4 0.254 0.141 0.641
O5 0.500 0.000 0.000
O6 0.254 0.641 0.859
O7 0.746 0.641 0.859
O8 0.500 0.500 0.500
O9 0.254 0.359 0.141
O10 0.254 0.859 0.359
Ba1 0.000 0.000 0.000
Ba2 0.000 0.500 0.500
# N(E_F) = 0.000 states/eV/atom
# SG = P4/mbm
# Calculated volume = 14.278 Å³ per atom
# Total energy = -7.644 eV/atom
# Crystal system = tetragonal
# Size of the total moment = 0.0 μB/f.u.

---

# BaTb2PdO5, relaxed, DFT GGA-PBEsol
data_BaTb2PdO5
_cell_length_a 5.829
_cell_length_b 6.510
_cell_length_c 6.510
_cell_angle_alpha 90.00
_cell_angle_beta 90.00
_cell_angle_gamma 90.00
_space_group_name_H-M_alt 'P 1'
_space_group_IT_number 1
loop_
_space_group_symop_operation_xyz
'x,y,z'
loop_
_atom_site_label
_atom_site_fract_x
_atom_site_fract_y
_atom_site_fract_z
Ba1 0.000 0.500 0.500
Ba2 0.000 0.000 0.000
Pd1 0.000 0.500 0.000
Pd2 0.000 0.000 0.500
O1 0.258 0.860 0.360
O2 0.258 0.140 0.640
O3 0.500 0.500 0.500
O4 0.258 0.360 0.140
O5 0.742 0.640 0.860
O6 0.742 0.360 0.140
O7 0.258 0.640 0.860
O8 0.500 0.000 0.000
O9 0.742 0.860 0.360
O10 0.742 0.140 0.640
Tb1 0.500 0.673 0.173
Tb2 0.500 0.327 0.827
Tb3 0.500 0.827 0.673
Tb4 0.500 0.173 0.327
# N(E_F) = 0.000 states/eV/atom
# SG = P4/mbm
# Calculated volume = 13.722 Å³ per atom
# Total energy = -7.683 eV/atom
# Crystal system = tetragonal
# Size of the total moment = 0.0 μB/f.u.

---

# BaY2PdO5, relaxed, DFT GGA-PBEsol
data_BaY2PdO5
_cell_length_a 5.825
_cell_length_b 6.485
_cell_length_c 6.485
_cell_angle_alpha 90.00
_cell_angle_beta 90.00
_cell_angle_gamma 90.00
_space_group_name_H-M_alt 'P 1'
_space_group_IT_number 1
loop_
_space_group_symop_operation_xyz
'x,y,z'
loop_
_atom_site_label
_atom_site_fract_x
_atom_site_fract_y
_atom_site_fract_z
Ba1 0.000 0.000 0.000
Ba2 0.000 0.500 0.500
O1 0.259 0.140 0.360
O2 0.259 0.360 0.860
O3 0.259 0.640 0.140
O4 0.741 0.640 0.140
O5 0.259 0.860 0.640
O6 0.500 0.000 0.000
O7 0.741 0.360 0.860
O8 0.741 0.860 0.640
O9 0.741 0.140 0.360
O10 0.500 0.500 0.500
Y1 0.500 0.674 0.826
Y2 0.500 0.826 0.326
Y3 0.500 0.174 0.674
Y4 0.500 0.326 0.174
Pd1 0.000 0.000 0.500
Pd2 0.000 0.500 0.000
# N(E_F) = 0.000 states/eV/atom
# SG = P4/mbm
# Calculated volume = 13.611 Å³ per atom
# Total energy = -8.084 eV/atom
# Crystal system = tetragonal
# Size of the total moment = 0.0 μB/f.u.

---

# Ba2PrRuO6, relaxed, DFT GGA-PBEsol
data_Ba2PrRuO6
_cell_length_a 6.013
_cell_length_b 6.013
_cell_length_c 6.013
_cell_angle_alpha 60.00
_cell_angle_beta 60.00
_cell_angle_gamma 60.00
_space_group_name_H-M_alt 'P 1'
_space_group_IT_number 1
loop_
_space_group_symop_operation_xyz
'x,y,z'
loop_
_atom_site_label
_atom_site_fract_x
_atom_site_fract_y
_atom_site_fract_z
O1 0.271 0.729 0.271
O2 0.271 0.729 0.729
O3 0.271 0.271 0.729
O4 0.729 0.271 0.271
O5 0.729 0.729 0.271
O6 0.729 0.271 0.729
Ba1 0.250 0.250 0.250
Ba2 0.750 0.750 0.750
Ru1 0.500 0.500 0.500
Pr1 0.000 0.000 0.000
# N(E_F) = 0.214 states/eV/atom
# SG = Fm-3m
# Calculated volume = 15.370 Å³ per atom
# Total energy = -7.483 eV/atom
# Distance to the lowest polymorph of the same formula = 4.4 meV/atom
# Crystal system = cubic
# Size of the total moment = 3.0 μB/f.u.

---

# Ba2PrRuO6, relaxed, DFT GGA-PBEsol
data_Ba2PrRuO6
_cell_length_a 5.982
_cell_length_b 6.041
_cell_length_c 8.469
_cell_angle_alpha 90.34
_cell_angle_beta 90.00
_cell_angle_gamma 90.00
_space_group_name_H-M_alt 'P 1'
_space_group_IT_number 1
loop_
_space_group_symop_operation_xyz
'x,y,z'
loop_
_atom_site_label
_atom_site_fract_x
_atom_site_fract_y
_atom_site_fract_z
O1 0.730 0.274 0.975
O2 0.230 0.773 0.475
O3 0.230 0.226 0.525
O4 0.770 0.227 0.525
O5 0.770 0.774 0.475
O6 0.000 0.953 0.728
O7 0.730 0.727 0.025
O8 0.500 0.453 0.228
O9 0.000 0.047 0.272
O10 0.270 0.273 0.975
O11 0.500 0.547 0.772
O12 0.270 0.726 0.025
Ru1 0.000 0.000 0.500
Ru2 0.500 0.500 0.000
Ba1 0.000 0.497 0.752
Ba2 0.500 0.003 0.748
Ba3 0.500 0.997 0.252
Ba4 0.000 0.503 0.248
Pr1 0.000 0.000 0.000
Pr2 0.500 0.500 0.500
# N(E_F) = 0.282 states/eV/atom
# SG = C2/m
# Calculated volume = 15.303 Å³ per atom
# Total energy = -7.487 eV/atom
# Distance to the lowest polymorph of the same formula = 0.0 meV/atom
# Crystal system = monoclinic
# Size of the total moment = 3.0 μB/f.u.

---

# BaPr2Sc2O7, relaxed, DFT GGA-PBEsol
data_BaPr2Sc2O7
_cell_length_a 5.789
_cell_length_b 5.789
_cell_length_c 20.348
_cell_angle_alpha 90.00
_cell_angle_beta 90.00
_cell_angle_gamma 90.00
_space_group_name_H-M_alt 'P 1'
_space_group_IT_number 1
loop_
_space_group_symop_operation_xyz
'x,y,z'
loop_
_atom_site_label
_atom_site_fract_x
_atom_site_fract_y
_atom_site_fract_z
Ba1 0.241 0.759 0.500
Ba2 0.759 0.241 0.500
Ba3 0.259 0.259 0.000
Ba4 0.741 0.741 0.000
Sc1 0.257 0.257 0.601
Sc2 0.743 0.743 0.399
Sc3 0.243 0.757 0.899
Sc4 0.743 0.743 0.601
Sc5 0.243 0.757 0.101
Sc6 0.757 0.243 0.101
Sc7 0.757 0.243 0.899
Sc8 0.257 0.257 0.399
O1 0.216 0.784 0.000
O2 0.312 0.688 0.791
O3 0.500 0.500 0.906
O4 0.188 0.188 0.709
O5 0.688 0.312 0.791
O6 0.500 0.000 0.612
O7 0.000 0.500 0.388
O8 0.000 0.500 0.888
O9 0.000 0.000 0.872
O10 0.500 0.500 0.094
O11 0.000 0.500 0.112
O12 0.500 0.000 0.388
O13 0.000 0.000 0.406
O14 0.688 0.312 0.209
O15 0.500 0.000 0.112
O16 0.500 0.500 0.372
O17 0.784 0.216 0.000
O18 0.812 0.812 0.709
O19 0.000 0.000 0.128
O20 0.500 0.500 0.628
O21 0.500 0.000 0.888
O22 0.312 0.688 0.209
O23 0.716 0.716 0.500
O24 0.188 0.188 0.291
O25 0.812 0.812 0.291
O26 0.000 0.500 0.612
O27 0.000 0.000 0.594
O28 0.284 0.284 0.500
Pr1 0.227 0.773 0.684
Pr2 0.273 0.273 0.184
Pr3 0.273 0.273 0.816
Pr4 0.227 0.773 0.316
Pr5 0.773 0.227 0.684
Pr6 0.727 0.727 0.816
Pr7 0.773 0.227 0.316
Pr8 0.727 0.727 0.184
# N(E_F) = 0.000 states/eV/atom
# SG = P4_2/mnm
# Calculated volume = 14.208 Å³ per atom
# Total energy = -8.592 eV/atom
# Crystal system = tetragonal
# Size of the total moment = 0.0 μB/f.u.

---

- Which of these has the lowest total energy?
  BaPr2Sc2O7